No. 1
Material: Zn2CuPb2
Method: DFT, PBE
State: relaxed

Unit cell a=6.7363 b=6.7363 c=4.8189 alpha=90.00 beta=90.00 gamma=90.00
Closest atoms and distances in Å follow each position.
Space group P4/mbm (No. 127)
One atom of each set of equivalent atoms:
1 Zn 0.1398 0.3602 0.0000  2 Cu 2.60, 1 Zn 2.66
2 Cu 0.0000 0.0000 0.0000  4 Zn 2.60
3 Pb 0.1796 0.6796 0.5000  6 Zn 2.96-3.24

Summary:
E_form in eV per atom: 0.1943
Total energy in eV per atom: -2.62
Theoretical density in g/cm3: 9.2
V in Å³/f.u.: 109.3


No. 2
Material: PaCoB
Method: DFT, PBE
State: relaxed

Unit cell a=3.6581 b=3.6581 c=3.7170 alpha=90.00 beta=90.00 gamma=120.00
Closest atoms and distances in Å follow each position.
Space group P-6m2 (No. 187)
One atom of each set of equivalent atoms:
1 Pa 0.0000 0.0000 0.0000  6 Co 2.81, 6 B 2.81
2 Co 0.6667 0.3333 0.5000  3 B 2.11
3 B 0.3333 0.6667 0.5000  3 Co 2.11

Summary:
E_form in eV per atom: -0.3986
Total energy in eV per atom: -8.16
Theoretical density in g/cm3: 11.6
V in Å³/f.u.: 43.1